Density functional theory data (GGA-PBEsol) for a relaxed structure of Cr2IrRu.

```
data_Cr2IrRu
_cell_length_a 3.723
_cell_length_b 3.723
_cell_length_c 3.627
_cell_angle_alpha 90.00
_cell_angle_beta 90.00
_cell_angle_gamma 90.00
_space_group_name_H-M_alt 'P 4/m m m'
_space_group_IT_number 123
_space_group_name_Hall '-P 4 2'
loop_
_atom_site_label
_atom_site_type_symbol
_atom_site_fract_x
_atom_site_fract_y
_atom_site_fract_z
Cr1 Cr 0.000 0.500 0.000
Ir1 Ir 0.000 0.000 0.500
Ru1 Ru 0.500 0.500 0.500
```

* energy: -10.15 eV per atom
* N(E_F): 1.148 states/eV/atom
* crystal system: tetragonal
* magnetization: 0.00 μB per formula unit
* energy of formation from the pure elements: -0.12 eV per formula unit